Record 1
This record from Alexandria via LeMat-Bulk describes a geometry-optimized Sr2BeOs structure. The functional is PBE-GGA.

The structure belongs to space group Pmmm (No. 47); the cell edges are 3.5376, 3.6688 and 7.6346 Å and the angles 90.00°, 90.00° and 90.00°. Symmetry generates all atoms from Sr at (0.0000, 0.0000, 0.2361), Be at (0.5000, 0.5000, 0.5000) and Os at (0.5000, 0.5000, 0.0000).

The volume comes out at 99.09 Å³/cell. The value obtained for the density is 6.28 Mg/m³. The calculation puts the energy of formation from the pure elements at 84 kJ/mol of atoms.



Record 2
This record from Alexandria via LeMat-Bulk describes a geometry-optimized OsAuSe2 structure. The functional is PBE-GGA.

The structure belongs to space group I-4m2 (No. 119); the cell edges are 4.0128, 4.0128 and 8.7087 Å and the angles 90.00°, 90.00° and 90.00°. Symmetry generates all atoms from Os at (0.0000, 0.0000, 0.0000), Au at (0.0000, 0.5000, 0.2500), Se at (0.0000, 0.0000, 0.5000) and Se at (0.0000, 0.5000, 0.7500).

Its polymorph energy (0 for the lowest one) is 840 meV/atom. As for the formation energy (no corrections): 931.8 meV/atom. The volume comes out at 140.23 Å³/cell. The value obtained for the density is 12.91 Mg/m³.



Record 3
This record from Alexandria via LeMat-Bulk describes a geometry-optimized BaGa3Au5 structure. The functional is PBE-GGA.

The structure belongs to space group Cmcm (No. 63); the cell edges are 4.1917, 13.6379 and 13.7119 Å and the angles 90.00°, 90.00° and 90.00°. Symmetry generates all atoms from Ba at (0.0000, 0.1676, 0.2500), Ga at (0.0000, 0.1090, 0.7500), Ga at (0.0000, 0.3754, 0.5311), Au at (0.0000, 0.0000, 0.0000), Au at (0.0000, 0.1977, 0.5817) and Au at (0.0000, 0.4692, 0.1497).

The volume comes out at 783.86 Å³/cell. The value obtained for the density is 11.28 Mg/m³. The calculation puts the energy of formation from the pure elements at -40 kJ/mol of atoms.